The following is a DFT calculation (PBE) of a relaxed V14FeRu crystal.

Total DFT energy (no corrections), hartree per atom: -0.3385
ΔE_f, eV per atom: -0.12
Density, g/cm³: 6.891

a = 5.9260 Å, b = 5.9260 Å, c = 5.9703 Å
α = 90.00°, β = 90.00°, γ = 90.00°
Closest atoms and distances in Å follow each position.
Space group P4/mmm (No. 123)
Asymmetric unit:
V  0.0000  0.0000  0.0000  8 V 2.56
V  0.0000  0.5000  0.0000  8 V 2.58
V  0.0000  0.5000  0.5000  8 V 2.56
V  0.2473  0.2473  0.2523  1 Fe 2.55, 6 V 2.56-2.60, 1 Ru 2.58
V  0.5000  0.5000  0.0000  8 V 2.60
Fe  0.0000  0.0000  0.5000  8 V 2.55
Ru  0.5000  0.5000  0.5000  8 V 2.58